--- A ---
An optimized crystal structure of ZnRe2Rh, computed with PBE-GGA.

Output
For the density of states at the Fermi level, the calculation gives 3.0 states/eV/f.u. For the total magnetic moment, the calculation gives 0.00 μB per cell.

```
data_ZnRe2Rh
_chemical_formula_sum 'Zn1 Re2 Rh1'
_cell_length_a 2.8033
_cell_length_b 2.8033
_cell_length_c 7.3860
_cell_angle_alpha 90.00
_cell_angle_beta 90.00
_cell_angle_gamma 90.00
_space_group_name_H-M_alt 'P 4 m m'
_space_group_IT_number 99
_space_group_name_Hall 'P 4 -2'
loop_
_atom_site_label
_atom_site_fract_x
_atom_site_fract_y
_atom_site_fract_z
Zn1 0.0000 0.0000 0.0000
Re1 0.0000 0.0000 0.5076
Re2 0.5000 0.5000 0.2601
Rh1 0.5000 0.5000 0.7591
```

=====

--- B ---
An optimized crystal structure of ZnRe2Rh, computed with PBE-GGA.

Output
For the density of states at the Fermi level, the calculation gives 4.0 states/eV/f.u. For the total magnetic moment, the calculation gives 0.00 μB per cell.

```
data_ZnRe2Rh
_chemical_formula_sum 'Zn4 Re8 Rh4'
_cell_length_a 5.6699
_cell_length_b 5.6699
_cell_length_c 10.7085
_cell_angle_alpha 90.00
_cell_angle_beta 90.00
_cell_angle_gamma 90.00
_space_group_name_H-M_alt 'I -4 2 d'
_space_group_IT_number 122
_space_group_name_Hall 'I -4 2bw'
loop_
_atom_site_label
_atom_site_fract_x
_atom_site_fract_y
_atom_site_fract_z
Zn1 0.0000 0.0000 0.0000
Re1 0.2407 0.2500 0.6250
Rh1 0.0000 0.0000 0.5000
```

=====

How far above the most stable structure does each one sit? In kJ/mol of atoms: A 0.0; B 178.7.

=====

--- A ---
An optimized crystal structure of ZnRe2Rh, computed with PBE-GGA.

Output
For the density of states at the Fermi level, the calculation gives 6.6 states/eV/f.u. For the total magnetic moment, the calculation gives 4.31 μB per cell.

```
data_ZnRe2Rh
_chemical_formula_sum 'Zn4 Re8 Rh4'
_cell_length_a 6.1587
_cell_length_b 6.1587
_cell_length_c 6.1587
_cell_angle_alpha 90.00
_cell_angle_beta 90.00
_cell_angle_gamma 90.00
_space_group_name_H-M_alt 'F m -3 m'
_space_group_IT_number 225
_space_group_name_Hall '-F 4 2 3'
loop_
_atom_site_label
_atom_site_fract_x
_atom_site_fract_y
_atom_site_fract_z
Zn1 0.0000 0.0000 0.0000
Re1 0.2500 0.2500 0.2500
Rh1 0.0000 0.0000 0.5000
```

=====

--- B ---
An optimized crystal structure of ZnRe2Rh, computed with PBE-GGA.

Output
For the density of states at the Fermi level, the calculation gives 3.9 states/eV/f.u. For the total magnetic moment, the calculation gives 0.00 μB per cell.

```
data_ZnRe2Rh
_chemical_formula_sum 'Zn1 Re2 Rh1'
_cell_length_a 3.6768
_cell_length_b 3.6768
_cell_length_c 4.3223
_cell_angle_alpha 90.00
_cell_angle_beta 90.00
_cell_angle_gamma 90.00
_space_group_name_H-M_alt 'P 4/m m m'
_space_group_IT_number 123
_space_group_name_Hall '-P 4 2'
loop_
_atom_site_label
_atom_site_fract_x
_atom_site_fract_y
_atom_site_fract_z
Zn1 0.0000 0.0000 0.0000
Re1 0.0000 0.5000 0.5000
Rh1 0.5000 0.5000 0.0000
```

=====

How far above the most stable structure does each one sit? In kJ/mol of atoms: A 31.6; B 0.0.

=====

--- A ---
An optimized crystal structure of ZnRe2Rh, computed with PBE-GGA.

Output
For the density of states at the Fermi level, the calculation gives 3.4 states/eV/f.u. For the total magnetic moment, the calculation gives 0.00 μB per cell.

```
data_ZnRe2Rh
_chemical_formula_sum 'Zn1 Re2 Rh1'
_cell_length_a 4.6423
_cell_length_b 2.7387
_cell_length_c 4.8328
_cell_angle_alpha 90.00
_cell_angle_beta 108.38
_cell_angle_gamma 90.00
_space_group_name_H-M_alt 'P 1 2/m 1'
_space_group_IT_number 10
_space_group_name_Hall '-P 2y'
loop_
_atom_site_label
_atom_site_fract_x
_atom_site_fract_y
_atom_site_fract_z
Zn1 0.0000 0.0000 0.0000
Re1 0.0000 0.5000 0.5000
Re2 0.5000 0.0000 0.5000
Rh1 0.5000 0.5000 0.0000
```

=====

--- B ---
An optimized crystal structure of ZnRe2Rh, computed with PBE-GGA.

Output
For the density of states at the Fermi level, the calculation gives 4.0 states/eV/f.u. For the total magnetic moment, the calculation gives 0.00 μB per cell.

```
data_ZnRe2Rh
_chemical_formula_sum 'Zn2 Re4 Rh2'
_cell_length_a 9.0627
_cell_length_b 2.6852
_cell_length_c 4.8601
_cell_angle_alpha 90.00
_cell_angle_beta 98.30
_cell_angle_gamma 90.00
_space_group_name_H-M_alt 'C 1 m 1'
_space_group_IT_number 8
_space_group_name_Hall 'C -2y'
loop_
_atom_site_label
_atom_site_fract_x
_atom_site_fract_y
_atom_site_fract_z
Zn1 0.0000 0.0000 0.0000
Re1 0.2431 0.0000 0.7114
Re2 0.4855 0.0000 0.5003
Rh1 0.2520 0.5000 0.2058
```

=====

How far above the most stable structure does each one sit? In kJ/mol of atoms: A 3.3; B 0.0.

=====

--- A ---
An optimized crystal structure of ZnRe2Rh, computed with PBE-GGA.

Output
For the density of states at the Fermi level, the calculation gives 2.4 states/eV/f.u. For the total magnetic moment, the calculation gives 0.00 μB per cell.

```
data_ZnRe2Rh
_chemical_formula_sum 'Zn2 Re4 Rh2'
_cell_length_a 2.8878
_cell_length_b 4.5864
_cell_length_c 8.9439
_cell_angle_alpha 90.00
_cell_angle_beta 90.00
_cell_angle_gamma 90.00
_space_group_name_H-M_alt 'C m m 2'
_space_group_IT_number 35
_space_group_name_Hall 'C 2 -2'
loop_
_atom_site_label
_atom_site_fract_x
_atom_site_fract_y
_atom_site_fract_z
Zn1 0.0000 0.0000 0.0000
Re1 0.0000 0.0000 0.5045
Re2 0.0000 0.5000 0.2583
Rh1 0.0000 0.5000 0.7603
```

=====

--- B ---
An optimized crystal structure of ZnRe2Rh, computed with PBE-GGA.

Output
For the density of states at the Fermi level, the calculation gives 3.5 states/eV/f.u. For the total magnetic moment, the calculation gives 0.00 μB per cell.

```
data_ZnRe2Rh
_chemical_formula_sum 'Zn2 Re4 Rh2'
_cell_length_a 5.1087
_cell_length_b 8.4507
_cell_length_c 2.7014
_cell_angle_alpha 90.00
_cell_angle_beta 90.17
_cell_angle_gamma 90.00
_space_group_name_H-M_alt 'C 1 2/m 1'
_space_group_IT_number 12
_space_group_name_Hall '-C 2y'
loop_
_atom_site_label
_atom_site_fract_x
_atom_site_fract_y
_atom_site_fract_z
Zn1 0.0000 0.0000 0.0000
Re1 0.2500 0.2500 0.5000
Rh1 0.0000 0.5000 0.0000
```

=====

How far above the most stable structure does each one sit? In kJ/mol of atoms: A 0.0; B 4.3.

=====

--- A ---
An optimized crystal structure of Zn2ReRh, computed with PBE-GGA.

Output
For the density of states at the Fermi level, the calculation gives 3.3 states/eV/f.u. For the total magnetic moment, the calculation gives 0.00 μB per cell.

```
data_Zn2ReRh
_chemical_formula_sum 'Zn4 Re2 Rh2'
_cell_length_a 2.7680
_cell_length_b 4.6707
_cell_length_c 8.9733
_cell_angle_alpha 90.00
_cell_angle_beta 90.00
_cell_angle_gamma 90.00
_space_group_name_H-M_alt 'I m m m'
_space_group_IT_number 71
_space_group_name_Hall '-I 2 2'
loop_
_atom_site_label
_atom_site_fract_x
_atom_site_fract_y
_atom_site_fract_z
Zn1 0.0000 0.0000 0.2437
Re1 0.0000 0.5000 0.0000
Rh1 0.0000 0.5000 0.5000
```

=====

--- B ---
An optimized crystal structure of Zn2ReRh, computed with PBE-GGA.

Output
For the density of states at the Fermi level, the calculation gives 2.2 states/eV/f.u. For the total magnetic moment, the calculation gives 0.00 μB per cell.

```
data_Zn2ReRh
_chemical_formula_sum 'Zn2 Re1 Rh1'
_cell_length_a 2.7552
_cell_length_b 3.7927
_cell_length_c 5.4892
_cell_angle_alpha 90.00
_cell_angle_beta 90.00
_cell_angle_gamma 90.00
_space_group_name_H-M_alt 'P m m 2'
_space_group_IT_number 25
_space_group_name_Hall 'P 2 -2'
loop_
_atom_site_label
_atom_site_fract_x
_atom_site_fract_y
_atom_site_fract_z
Zn1 0.0000 0.0000 0.0000
Zn2 0.5000 0.5000 0.2329
Re1 0.0000 0.0000 0.5039
Rh1 0.5000 0.5000 0.7289
```

=====

--- C ---
An optimized crystal structure of Zn2ReRh, computed with PBE-GGA.

Output
For the density of states at the Fermi level, the calculation gives 2.1 states/eV/f.u. For the total magnetic moment, the calculation gives 0.00 μB per cell.

```
data_Zn2ReRh
_chemical_formula_sum 'Zn2 Re1 Rh1'
_cell_length_a 2.7644
_cell_length_b 2.7644
_cell_length_c 7.5704
_cell_angle_alpha 90.00
_cell_angle_beta 90.00
_cell_angle_gamma 90.00
_space_group_name_H-M_alt 'P 4 m m'
_space_group_IT_number 99
_space_group_name_Hall 'P 4 -2'
loop_
_atom_site_label
_atom_site_fract_x
_atom_site_fract_y
_atom_site_fract_z
Zn1 0.0000 0.0000 0.0000
Zn2 0.5000 0.5000 0.2628
Re1 0.0000 0.0000 0.5185
Rh1 0.5000 0.5000 0.7550
```

=====

How far above the most stable structure does each one sit? In kJ/mol of atoms: A 17.9; B 8.3; C 0.0.

=====

--- A ---
An optimized crystal structure of Zn2ReRh, computed with PBE-GGA.

Output
For the density of states at the Fermi level, the calculation gives 3.2 states/eV/f.u. For the total magnetic moment, the calculation gives 0.77 μB per cell.

```
data_Zn2ReRh
_chemical_formula_sum 'Zn6 Re3 Rh3'
_cell_length_a 2.7788
_cell_length_b 2.7788
_cell_length_c 25.8080
_cell_angle_alpha 90.00
_cell_angle_beta 90.00
_cell_angle_gamma 120.00
_space_group_name_H-M_alt 'R -3 m'
_space_group_IT_number 166
_space_group_name_Hall '-R 3 2"'
loop_
_atom_site_label
_atom_site_fract_x
_atom_site_fract_y
_atom_site_fract_z
Zn1 0.0000 0.0000 0.2476
Re1 0.0000 0.0000 0.0000
Rh1 0.0000 0.0000 0.5000
```

=====

--- B ---
An optimized crystal structure of Zn2ReRh, computed with PBE-GGA.

Output
For the density of states at the Fermi level, the calculation gives 2.5 states/eV/f.u. For the total magnetic moment, the calculation gives 0.00 μB per cell.

```
data_Zn2ReRh
_chemical_formula_sum 'Zn4 Re2 Rh2'
_cell_length_a 8.9207
_cell_length_b 2.7372
_cell_length_c 4.7401
_cell_angle_alpha 90.00
_cell_angle_beta 98.18
_cell_angle_gamma 90.00
_space_group_name_H-M_alt 'C 1 m 1'
_space_group_IT_number 8
_space_group_name_Hall 'C -2y'
loop_
_atom_site_label
_atom_site_fract_x
_atom_site_fract_y
_atom_site_fract_z
Zn1 0.0000 0.0000 0.0000
Zn2 0.2459 0.0000 0.7809
Re1 0.4943 0.0000 0.4969
Rh1 0.2501 0.5000 0.2855
```

=====

--- C ---
An optimized crystal structure of Zn2ReRh, computed with PBE-GGA.

Output
For the density of states at the Fermi level, the calculation gives 4.4 states/eV/f.u. For the total magnetic moment, the calculation gives 1.02 μB per cell.

```
data_Zn2ReRh
_chemical_formula_sum 'Zn2 Re1 Rh1'
_cell_length_a 3.8895
_cell_length_b 3.8895
_cell_length_c 3.7899
_cell_angle_alpha 90.00
_cell_angle_beta 90.00
_cell_angle_gamma 90.00
_space_group_name_H-M_alt 'P 4/m m m'
_space_group_IT_number 123
_space_group_name_Hall '-P 4 2'
loop_
_atom_site_label
_atom_site_fract_x
_atom_site_fract_y
_atom_site_fract_z
Zn1 0.0000 0.5000 0.0000
Re1 0.0000 0.0000 0.5000
Rh1 0.5000 0.5000 0.5000
```

=====

How far above the most stable structure does each one sit? In kJ/mol of atoms: A 0.0; B 1.0; C 21.0.